[1]
Density functional theory data (PBE-GGA) for Ir2Rh after structural relaxation.

Values from the calculation:
Offset from the most stable computed form ... 3 meV per atom
Final energy ... -8.37 eV/atom
Formation enthalpy at 0 K ... -0.0134 eV per atom
Calculated volume ... 345.5 Å³ per cell
Density ... 18.74 g/cm³
Magnetization ... 0.000 Bohr magnetons per cell
DOS at the Fermi energy ... 20.22 states/eV/cell

Cell: 3.8630 3.8630 23.1539 Å, 90.00 90.00 90.00°
Closest atoms and distances in Å follow each position.
Space group I4_1/amd (No. 141, origin choice 2)
Symmetry-distinct sites (fractional):
Ir: 0.0000 0.2500 0.1246  4 Rh 2.71-2.73, 8 Ir 2.72-2.73
Ir: 0.0000 0.2500 0.2918  6 Ir 2.72-2.74, 6 Rh 2.73-2.74
Rh: 0.0000 0.2500 0.7924  10 Ir 2.71-2.74, 2 Rh 2.75

***

[2]
Density functional theory data (PBE-GGA) for CsPmMgS3 after structural relaxation.

Values from the calculation:
Final energy ... -4.93 eV/atom
ΔE_f (raw) ... -1.67 eV per atom
Calculated volume ... 382.8 Å³ per cell
Density ... 3.46 g/cm³
Magnetization ... 0.000 Bohr magnetons per cell
DOS at the Fermi energy ... 0.00 states/eV/cell

Cell: 9.4491 4.2290 10.1526 Å, 90.00 109.35 90.00°
Closest atoms and distances in Å follow each position.
Space group P2_1/m (No. 11)
Symmetry-distinct sites (fractional):
Cs: 0.2106 0.2500 0.2326  7 S 3.56-3.91
Pm: 0.3337 0.7500 0.8641  6 S 2.75-3.06
Mg: 0.0843 0.2500 0.6100  4 S 2.40-2.50
S: 0.1284 0.2500 0.8572  1 Mg 2.40
S: 0.1827 0.7500 0.5468  3 Mg 2.48-2.50
S: 0.4723 0.7500 0.1492  3 Pm 2.75-2.83

***

[3]
Density functional theory data (PBE-GGA) for Sc3TiS after structural relaxation.

Values from the calculation:
Offset from the most stable computed form ... 0 meV per atom
Final energy ... -6.61 eV/atom
ΔE_f (raw) ... -0.41 eV per atom
Calculated volume ... 112.7 Å³ per cell
Density ... 3.17 g/cm³
Magnetization ... 0.000 Bohr magnetons per cell
DOS at the Fermi energy ... 11.07 states/eV/cell

Cell: 4.8296 4.8296 4.8296 Å, 90.00 90.00 90.00°
Closest atoms and distances in Å follow each position.
Space group Pm-3m (No. 221)
Symmetry-distinct sites (fractional):
Sc: 0.0000 0.0000 0.5000  2 S 2.41
Ti: 0.5000 0.5000 0.5000  12 Sc 3.42
S: 0.0000 0.0000 0.0000  6 Sc 2.41

***

[4]
Density functional theory data (PBE-GGA) for Mn3AlH after structural relaxation.

Values from the calculation:
Final energy ... -6.79 eV/atom
Calculated volume ... 200.3 Å³ per cell
Density ... 6.39 g/cm³
Magnetization ... 0.000 Bohr magnetons per cell
DOS at the Fermi energy ... 21.66 states/eV/cell

Cell: 6.7099 4.7111 6.8647 Å, 90.00 112.60 90.00°
Closest atoms and distances in Å follow each position.
Space group P2_1/c (No. 14)
Symmetry-distinct sites (fractional):
Mn: 0.0262 0.1064 0.3374  3 H 1.75-1.88
Mn: 0.1849 0.5252 0.5447  2 H 1.80-1.89
Mn: 0.3374 0.1428 0.7410  1 H 1.86
Al: 0.3689 0.6758 0.9020  5 Mn 2.32-2.54, 1 Al 2.41
H: 0.0466 0.2258 0.5980  6 Mn 1.75-1.89

***

[5]
Density functional theory data (PBE-GGA) for KNi2Ru after structural relaxation.

Values from the calculation:
Offset from the most stable computed form ... 474 meV per atom
Final energy ... -4.50 eV/atom
Formation enthalpy at 0 K ... 0.9820 eV per atom
Calculated volume ... 386.3 Å³ per cell
Density ... 4.43 g/cm³
Magnetization ... 0.000 Bohr magnetons per cell
DOS at the Fermi energy ... 23.30 states/eV/cell

Cell: 5.0312 5.0312 15.2627 Å, 90.00 90.00 90.00°
Closest atoms and distances in Å follow each position.
Space group I4_1/amd (No. 141, origin choice 2)
Symmetry-distinct sites (fractional):
K: 0.0000 0.2500 0.3750  8 Ni 3.40, 4 Ru 3.56
Ni: 0.0000 0.0000 0.0000  2 Ru 2.29, 2 Ni 2.52
Ru: 0.0000 0.2500 0.8750  4 Ni 2.29

***

[6]
Density functional theory data (PBE-GGA) for Pa2BeRu5 after structural relaxation.

Values from the calculation:
Final energy ... -9.03 eV/atom
Formation enthalpy at 0 K ... -0.3955 eV per atom
Calculated volume ... 264.7 Å³ per cell
Density ... 12.25 g/cm³
Magnetization ... 0.000 Bohr magnetons per cell
DOS at the Fermi energy ... 14.89 states/eV/cell

Cell: 5.7812 5.7812 7.9191 Å, 90.00 90.00 90.00°
Closest atoms and distances in Å follow each position.
Space group I4mm (No. 107)
Symmetry-distinct sites (fractional):
Pa: 0.0000 0.5000 0.0000  10 Ru 2.84-2.89, 2 Be 3.11
Be: 0.0000 0.0000 0.3541  4 Ru 2.28
Ru: 0.0000 0.0000 0.0140  1 Be 2.69, 8 Ru 2.83-2.86, 4 Pa 2.89
Ru: 0.2399 0.2399 0.7505  1 Be 2.28

***

[7]
Density functional theory data (PBE-GGA) for CaPuIn2 after structural relaxation.

Values from the calculation:
Offset from the most stable computed form ... 0 meV per atom
Final energy ... -5.74 eV/atom
Formation enthalpy at 0 K ... -0.2836 eV per atom
Calculated volume ... 107.7 Å³ per cell
Density ... 7.92 g/cm³
Magnetization ... 5.536 Bohr magnetons per cell
DOS at the Fermi energy ... 7.24 states/eV/cell

Cell: 3.3762 3.3762 9.4452 Å, 90.00 90.00 90.00°
Closest atoms and distances in Å follow each position.
Space group P4/mmm (No. 123)
Symmetry-distinct sites (fractional):
Ca: 0.0000 0.0000 0.0000  8 In 3.37, 4 Ca 3.38
Pu: 0.0000 0.0000 0.5000  8 In 3.35, 4 Pu 3.38
In: 0.5000 0.5000 0.2515  4 Pu 3.35, 4 Ca 3.37, 4 In 3.38

***

[8]
Density functional theory data (PBE-GGA) for MgZr2Se after structural relaxation.

Values from the calculation:
Offset from the most stable computed form ... 137 meV per atom
Final energy ... -5.88 eV/atom
ΔE_f (raw) ... -0.34 eV per atom
Calculated volume ... 172.7 Å³ per cell
Density ... 5.50 g/cm³
Magnetization ... 0.000 Bohr magnetons per cell
DOS at the Fermi energy ... 5.69 states/eV/cell

Cell: 10.9433 3.4237 5.2117 Å, 90.00 117.85 90.00°
Closest atoms and distances in Å follow each position.
Space group C2/m (No. 12)
Symmetry-distinct sites (fractional):
Mg: 0.0000 0.0000 0.0000  4 Se 3.12, 8 Zr 3.15-3.42, 2 Mg 3.42
Zr: 0.2269 0.0000 0.7266  2 Se 2.78
Se: 0.0000 0.5000 0.5000  4 Zr 2.78